Record 1
{"formula": "PaAlMo2", "functional": "PBE", "state": "optimized geometry", "vol_a3_per_fu": 83.1, "n_ef_per_ev_atom": 0.7882, "total_energy_ev_per_atom": -7.99, "total_magnetization_mub_per_cell": 0.0, "sg": "R-3m, No. 166", "de_polymorph_ev_per_atom": 0.833, "delta_e_f_ev_per_fu": 3.0, "lattice_angstrom": [[-1.328, -0.242, -2.965], [-2.218, -2.307, -0.608], [-7.769, 4.828, 1.294]], "species": ["Mo", "Mo", "Pa", "Al"], "fractional_positions": [[0.095, 0.095, 0.715], [0.905, 0.905, 0.285], [0.500, 0.500, 0.500], [0.000, 0.000, 0.000]]}

Record 2
{"formula": "PuPaAlMo", "functional": "PBE", "state": "optimized geometry", "vol_a3_per_fu": 85.4, "n_ef_per_ev_atom": 2.0188, "total_energy_ev_per_atom": -9.46, "total_magnetization_mub_per_cell": 4.8, "sg": "F-43m, No. 216", "delta_e_f_ev_per_fu": 0.5, "lattice_angstrom": [[-3.212, 2.970, 2.299], [-3.080, -1.848, 3.394], [0.636, 1.103, 4.775]], "species": ["Mo", "Pa", "Al", "Pu"], "fractional_positions": [[0.000, 0.000, 0.000], [0.750, 0.750, 0.750], [0.500, 0.500, 0.500], [0.250, 0.250, 0.250]]}

Record 3
{"formula": "PaAlReMo", "functional": "PBE", "state": "optimized geometry", "vol_a3_per_fu": 70.5, "n_ef_per_ev_atom": 1.0179, "total_energy_ev_per_atom": -9.20, "total_magnetization_mub_per_cell": 0.0, "sg": "F-43m, No. 216", "delta_e_f_ev_per_fu": -0.3, "lattice_angstrom": [[4.637, 0.000, 0.000], [2.318, 4.016, 0.000], [2.318, 1.339, 3.786]], "species": ["Re", "Mo", "Pa", "Al"], "fractional_positions": [[0.250, 0.250, 0.250], [0.750, 0.750, 0.750], [0.500, 0.500, 0.500], [0.000, 0.000, 0.000]]}

Record 4
{"formula": "PaAlMoRu", "functional": "PBE", "state": "optimized geometry", "vol_a3_per_fu": 70.0, "n_ef_per_ev_atom": 1.5092, "total_energy_ev_per_atom": -8.64, "total_magnetization_mub_per_cell": 0.0, "sg": "F-43m, No. 216", "delta_e_f_ev_per_fu": -1.2, "lattice_angstrom": [[-3.690, 2.074, 1.864], [-4.005, 0.108, -2.311], [-3.583, -2.533, 1.462]], "species": ["Ru", "Mo", "Pa", "Al"], "fractional_positions": [[0.750, 0.750, 0.750], [0.250, 0.250, 0.250], [0.500, 0.500, 0.500], [0.000, 0.000, 0.000]]}

Record 5
{"formula": "PaAlTcMo", "functional": "PBE", "state": "optimized geometry", "vol_a3_per_fu": 69.9, "n_ef_per_ev_atom": 1.0908, "total_energy_ev_per_atom": -8.82, "total_magnetization_mub_per_cell": 0.0, "sg": "F-43m, No. 216", "delta_e_f_ev_per_fu": -0.8, "lattice_angstrom": [[-0.747, 2.528, 3.798], [-3.896, -0.566, 2.424], [0.140, -1.994, 4.169]], "species": ["Mo", "Pa", "Tc", "Al"], "fractional_positions": [[0.000, 0.000, 0.000], [0.250, 0.250, 0.250], [0.500, 0.500, 0.500], [0.750, 0.750, 0.750]]}

Record 6
{"formula": "TmPaAlMo", "functional": "PBE", "state": "optimized geometry", "vol_a3_per_fu": 86.7, "n_ef_per_ev_atom": 0.9936, "total_energy_ev_per_atom": -7.10, "total_magnetization_mub_per_cell": 0.0, "sg": "F-43m, No. 216", "delta_e_f_ev_per_fu": 0.2, "lattice_angstrom": [[-0.522, 4.448, 2.151], [-3.020, 3.393, -2.012], [-4.264, 1.182, 2.260]], "species": ["Mo", "Pa", "Tm", "Al"], "fractional_positions": [[0.000, 0.000, 0.000], [0.750, 0.750, 0.750], [0.250, 0.250, 0.250], [0.500, 0.500, 0.500]]}

Record 7
{"formula": "PaAlVMo", "functional": "PBE", "state": "optimized geometry", "vol_a3_per_fu": 68.1, "n_ef_per_ev_atom": 0.9202, "total_energy_ev_per_atom": -8.41, "total_magnetization_mub_per_cell": 0.0, "sg": "F-43m, No. 216", "delta_e_f_ev_per_fu": -0.4, "lattice_angstrom": [[-3.003, 0.620, -3.407], [-4.489, -0.496, 0.783], [-2.745, 3.671, 0.003]], "species": ["Mo", "Pa", "Al", "V"], "fractional_positions": [[0.750, 0.750, 0.750], [0.000, 0.000, 0.000], [0.500, 0.500, 0.500], [0.250, 0.250, 0.250]]}

Record 8
{"formula": "PaAlZnMo", "functional": "PBE", "state": "optimized geometry", "vol_a3_per_fu": 73.6, "n_ef_per_ev_atom": 1.1546, "total_energy_ev_per_atom": -6.23, "total_magnetization_mub_per_cell": 0.0, "sg": "F-43m, No. 216", "delta_e_f_ev_per_fu": 0.4, "lattice_angstrom": [[4.704, 0.000, 0.000], [2.352, 4.074, 0.000], [2.352, 1.358, 3.841]], "species": ["Mo", "Pa", "Zn", "Al"], "fractional_positions": [[0.000, 0.000, 0.000], [0.750, 0.750, 0.750], [0.500, 0.500, 0.500], [0.250, 0.250, 0.250]]}